Entry one
A plane-wave DFT calculation with GGA-PBE was carried out for a relaxed structure of Ca2LaRh2.

Cell: 5.028 5.028 6.201 Å, 66.08 66.08 90.00°
Sites, in units of the cell vectors:
Ca (0.652, 0.652, 0.696)
Ca (0.348, 0.348, 0.304)
La (0.000, 0.000, 0.000)
Rh (0.250, 0.750, 0.500)
Rh (0.750, 0.250, 0.500)

* density: 5.49 g/cm3
* SG: I4/mmm
* density of states at the Fermi level: 5.79 states/eV/f.u.

---

Entry two
A plane-wave DFT calculation with GGA-PBE was carried out for a relaxed structure of Ca2LaRh2.

Cell: 4.267 6.064 6.057 Å, 61.98 69.42 69.35°
Sites, in units of the cell vectors:
Ca (0.308, 0.192, 0.692)
Ca (0.692, 0.808, 0.308)
Rh (0.000, 0.220, 0.280)
Rh (0.000, 0.780, 0.720)
La (0.500, 0.500, 0.000)

* density: 5.59 g/cm3
* SG: Immm
* density of states at the Fermi level: 2.36 states/eV/f.u.

---

Entry three
A plane-wave DFT calculation with GGA-PBE was carried out for a relaxed structure of Ca2LaRh2.

Cell: 4.405 4.405 7.181 Å, 72.14 72.14 90.00°
Sites, in units of the cell vectors:
Rh (0.401, 0.401, 0.199)
Rh (0.599, 0.599, 0.801)
La (0.000, 0.000, 0.000)
Ca (0.750, 0.250, 0.500)
Ca (0.250, 0.750, 0.500)

* density: 5.62 g/cm3
* SG: I4/mmm
* density of states at the Fermi level: 2.61 states/eV/f.u.

---

Entry four
A plane-wave DFT calculation with GGA-PBE was carried out for a relaxed structure of Ca2LaRh2.

Cell: 8.080 8.080 3.678 Å, 90.00 90.00 90.00°
Sites, in units of the cell vectors:
Ca (0.138, 0.638, 0.500)
Ca (0.862, 0.362, 0.500)
Ca (0.638, 0.862, 0.500)
Ca (0.362, 0.138, 0.500)
Rh (0.667, 0.167, 0.000)
Rh (0.833, 0.667, 0.000)
Rh (0.333, 0.833, 0.000)
Rh (0.167, 0.333, 0.000)
La (0.000, 0.000, 0.000)
La (0.500, 0.500, 0.000)

* density: 5.88 g/cm3
* SG: P4/mbm
* density of states at the Fermi level: 1.38 states/eV/f.u.

---

Result of the stability comparison: entry two is the most stable of them.

---

Entry one
A plane-wave DFT calculation with GGA-PBE was carried out for a relaxed structure of CaLa2Rh2.

Cell: 4.953 4.953 6.641 Å, 68.10 68.10 90.00°
Sites, in units of the cell vectors:
Ca (0.000, 0.000, 0.000)
Rh (0.617, 0.617, 0.765)
Rh (0.383, 0.383, 0.235)
La (0.250, 0.750, 0.500)
La (0.750, 0.250, 0.500)

* density: 6.28 g/cm3
* SG: I4/mmm
* density of states at the Fermi level: 3.15 states/eV/f.u.

---

Entry two
A plane-wave DFT calculation with GGA-PBE was carried out for a relaxed structure of CaLa2Rh2.

Cell: 4.059 4.059 10.178 Å, 78.50 78.50 90.00°
Sites, in units of the cell vectors:
Ca (0.000, 0.000, 0.000)
Rh (0.750, 0.250, 0.500)
Rh (0.250, 0.750, 0.500)
La (0.348, 0.348, 0.305)
La (0.652, 0.652, 0.695)

* density: 5.41 g/cm3
* SG: I4/mmm
* density of states at the Fermi level: 4.56 states/eV/f.u.

---

Result of the stability comparison: entry one is the most stable of them.

---

Entry one
A plane-wave DFT calculation with GGA-PBE was carried out for a relaxed structure of CaLaRh2Se.

Cell: 4.062 4.008 7.161 Å, 90.00 105.71 90.00°
Sites, in units of the cell vectors:
Rh (0.876, 0.000, 0.554)
Rh (0.493, 0.000, 0.797)
Ca (0.320, 0.500, 0.419)
Se (0.757, 0.000, 0.178)
La (0.051, 0.500, 0.893)

* density: 6.86 g/cm3
* SG: Pm
* density of states at the Fermi level: 3.16 states/eV/f.u.

---

Entry two
A plane-wave DFT calculation with GGA-PBE was carried out for a relaxed structure of CaLaRh2Se.

Cell: 3.955 4.008 7.203 Å, 97.27 105.91 90.03°
Sites, in units of the cell vectors:
Ca (0.877, 0.628, 0.785)
Rh (0.502, 0.094, 0.032)
Rh (0.691, 0.035, 0.415)
La (0.120, 0.513, 0.270)
Se (0.313, 0.100, 0.658)

* density: 7.07 g/cm3
* SG: P1
* density of states at the Fermi level: 2.99 states/eV/f.u.

---

Result of the stability comparison: entry one is the most stable of them.

---

Entry one
A plane-wave DFT calculation with GGA-PBE was carried out for a relaxed structure of CaLaRh2Se.

Cell: 4.596 5.016 6.045 Å, 84.54 73.27 65.17°
Sites, in units of the cell vectors:
Rh (0.473, 0.294, 0.720)
Rh (0.803, 0.656, 0.713)
Ca (0.304, 0.376, 0.248)
Se (0.938, 0.999, 0.351)
La (0.144, 0.961, 0.809)

* density: 6.36 g/cm3
* SG: P1
* density of states at the Fermi level: 2.85 states/eV/f.u.

---

Entry two
A plane-wave DFT calculation with GGA-PBE was carried out for a relaxed structure of CaLaRh2Se.

Cell: 8.175 4.181 7.627 Å, 90.00 108.83 90.00°
Last column: magnetic moment on the atom in μB.
Sites, in units of the cell vectors:
La (0.923, 0.500, 0.723)  -0.01
La (0.923, 0.000, 0.223)  -0.01
Se (0.175, 0.000, 0.638)  0.00
Se (0.175, 0.500, 0.138)  0.00
Ca (0.404, 0.000, 0.047)  0.00
Ca (0.404, 0.500, 0.547)  0.00
Rh (0.668, 0.500, 0.979)  0.24
Rh (0.672, 0.000, 0.798)  0.24
Rh (0.668, 0.000, 0.479)  0.24
Rh (0.672, 0.500, 0.298)  0.24

* density: 6.24 g/cm3
* SG: Cm
* density of states at the Fermi level: 4.39 states/eV/f.u.

---

Result of the stability comparison: entry two is the most stable of them.